No. 1
! PBE K6Rb12As, relaxed; values from VASP
&SYSTEM
  ibrav = 0, nat = 19, ntyp = 3
/
ATOMIC_SPECIES
K 39.10 K.upf
Rb 85.47 Rb.upf
As 74.92 As.upf
ATOMIC_POSITIONS angstrom
K -5.144 -2.970 14.226
K 0.000 -5.940 9.913
K -5.144 2.970 9.913
K 5.144 -2.970 14.226
K 0.000 5.940 14.226
K 5.144 2.970 9.913
Rb 0.000 -2.908 6.050
Rb -2.519 1.454 6.050
Rb -2.519 -1.454 10.127
Rb 0.000 -2.909 14.012
Rb -2.519 1.454 14.012
Rb 2.519 1.454 6.050
Rb -2.519 -1.454 18.089
Rb 2.519 -1.454 10.127
Rb 0.000 2.909 10.127
Rb 2.519 1.454 14.012
Rb 2.519 -1.454 18.089
Rb 0.000 2.908 18.089
As 0.000 0.000 0.000
CELL_PARAMETERS angstrom
7.413 4.280 8.046
-7.413 4.280 8.046
0.000 -8.559 8.046
! **Raw total energy**: -1.25 eV per atom
! **Volume**: 80.6 Å³/atom
! **N(E_F)**: 0.749 states/eV per atom
! **Formation energy from the elements**: -48 meV/atom
! **M_tot**: 0.0 μB per formula unit

No. 2
! PBE La2SmAg2Pb2, relaxed; values from VASP
&SYSTEM
  ibrav = 0, nat = 7, ntyp = 4
/
ATOMIC_SPECIES
La 138.91 La.upf
Sm 150.36 Sm.upf
Ag 107.87 Ag.upf
Pb 207.20 Pb.upf
ATOMIC_POSITIONS angstrom
La 0.000 0.000 3.822
La 0.000 0.000 23.698
Sm 0.000 0.000 0.000
Ag 0.000 0.000 11.789
Ag 0.000 0.000 15.731
Pb 0.000 0.000 7.453
Pb 0.000 0.000 20.066
CELL_PARAMETERS angstrom
2.463 1.422 9.173
-2.463 1.422 9.173
0.000 -2.844 9.173
! **Raw total energy**: -4.26 eV per atom
! **Volume**: 27.5 Å³/atom
! **N(E_F)**: 0.518 states/eV per atom
! **Formation energy from the elements**: -307 meV/atom
! **M_tot**: 0.0 μB per formula unit

No. 3
! PBE La5Bi2Te, relaxed; values from VASP
&SYSTEM
  ibrav = 0, nat = 8, ntyp = 3
/
ATOMIC_SPECIES
La 138.91 La.upf
Bi 208.98 Bi.upf
Te 127.60 Te.upf
ATOMIC_POSITIONS angstrom
La 0.000 0.000 0.000
La 0.126 2.915 3.131
La 1.884 0.000 2.494
La 0.126 -2.915 3.131
La 4.124 0.000 0.122
Bi 2.006 2.721 0.294
Bi 2.006 -2.721 0.294
Te -1.584 0.000 3.000
CELL_PARAMETERS angstrom
3.896 -5.743 0.000
3.896 5.743 0.000
-3.577 0.000 5.792
! **Raw total energy**: -5.22 eV per atom
! **ΔE_f (raw)**: -0.7739 eV/atom
! **Volume**: 32.4 Å³/atom
! **N(E_F)**: 0.993 states/eV per atom
! **M_tot**: 0.0 μB per formula unit